The following is a DFT calculation (PBE) of an optimized crystal structure of PrErTh.

Cell lengths 3.5980, 3.5980, 8.8314 Å; angles 90.00, 90.00, 120.00 degrees
Last column: nearest neighbours and their distance in Å.
Sites, in units of the cell vectors:
Th (0.3333, 0.6667, 0.6610)  3 Er 3.48, 6 Th 3.60, 3 Pr 3.61
Er (0.6667, 0.3333, 0.3443)  3 Th 3.48, 6 Er 3.60, 3 Pr 3.72
Pr (0.0000, 0.0000, 0.9947)  6 Pr 3.60, 3 Th 3.61, 3 Er 3.72

Computed properties:
Energy above the most stable polymorph in this dataset: 7 meV/atom
Space group: No. 156
Formation enthalpy at 0 K: 3.5 kJ per mole of atoms

***

The following is a DFT calculation (PBE) of an optimized crystal structure of ReRuS2N.

Cell lengths 4.7728, 4.7728, 3.6099 Å; angles 90.00, 90.00, 90.00 degrees
Last column: nearest neighbours and their distance in Å.
Sites, in units of the cell vectors:
S (0.5000, 0.0000, 0.0000)  2 Ru 2.39
Re (0.5000, 0.5000, 0.5000)  8 S 2.99
S (0.0000, 0.5000, 0.0000)  2 Ru 2.39
N (0.0000, 0.0000, 0.5000)  2 Ru 1.80
Ru (0.0000, 0.0000, 0.0000)  2 N 1.80

Computed properties:
Energy above the most stable polymorph in this dataset: 301 meV/atom
Space group: No. 123
Uncorrected formation energy: 1.15 eV/atom

***

The following is a DFT calculation (PBE) of an optimized crystal structure of Sm4HoMg7.

Cell lengths 5.7118, 10.9706, 6.4186 Å; angles 87.54, 63.58, 74.91 degrees
Last column: nearest neighbours and their distance in Å.
Sites, in units of the cell vectors:
Mg (0.3719, 0.5004, 0.7558)  2 Mg 2.94, 2 Sm 3.12-3.24
Mg (0.2206, 0.0772, 0.4817)  2 Mg 2.82-3.08, 1 Sm 3.14, 1 Ho 3.16
Sm (0.6195, 0.2196, 0.5414)  6 Mg 3.12-3.42
Mg (0.7794, 0.9228, 0.5183)  2 Mg 2.82-3.08, 1 Sm 3.14, 1 Ho 3.16
Sm (0.2283, 0.3365, 0.2069)  6 Mg 3.24-3.56
Mg (0.0744, 0.6875, 0.1637)  2 Mg 2.94-3.08
Sm (0.3805, 0.7804, 0.4586)  6 Mg 3.12-3.42
Ho (0.0000, 0.0000, 0.0000)  4 Mg 2.86-3.16
Mg (0.6281, 0.4996, 0.2442)  2 Mg 2.94, 2 Sm 3.12-3.24
Sm (0.7717, 0.6635, 0.7931)  6 Mg 3.24-3.56
Mg (0.9256, 0.3125, 0.8363)  2 Mg 2.94-3.08
Mg (0.5000, 0.0000, 0.0000)  2 Mg 2.82, 2 Ho 2.86

Computed properties:
Space group: No. 12
Formation enthalpy at 0 K: 12.6 kJ per mole of atoms

***

The following is a DFT calculation (PBE) of an optimized crystal structure of Dy2PC.

Cell lengths 4.2365, 4.2365, 7.6341 Å; angles 73.89, 73.89, 60.00 degrees
Last column: nearest neighbours and their distance in Å.
Sites, in units of the cell vectors:
Dy (0.8989, 0.8989, 0.3032)  1 C 2.19
P (0.5000, 0.5000, 0.5000)  6 Dy 2.83
Dy (0.1011, 0.1011, 0.6968)  1 C 2.19
C (0.0000, 0.0000, 0.0000)  2 Dy 2.19

Computed properties:
Space group: No. 166
Formation enthalpy at 0 K: 20.1 kJ per mole of atoms

***

The following is a DFT calculation (PBE) of an optimized crystal structure of TlCdS2.

Cell lengths 4.9576, 4.9576, 4.9576 Å; angles 60.00, 60.00, 60.00 degrees
Last column: nearest neighbours and their distance in Å.
Sites, in units of the cell vectors:
Cd (0.0000, 0.0000, 0.0000)  8 S 3.04
S (0.7500, 0.7500, 0.7500)  4 Cd 3.04, 4 Tl 3.04
Tl (0.5000, 0.5000, 0.5000)  8 S 3.04
S (0.2500, 0.2500, 0.2500)  4 Cd 3.04, 4 Tl 3.04

Computed properties:
Energy above the most stable polymorph in this dataset: 414 meV/atom
Space group: No. 225
Uncorrected formation energy: 0.08 eV/atom

***

The following is a DFT calculation (PBE) of an optimized crystal structure of TbNd6Y5.

Cell lengths 5.1522, 10.1718, 9.5857 Å; angles 122.04, 105.59, 90.00 degrees
Last column: nearest neighbours and their distance in Å.
Sites, in units of the cell vectors:
Y (0.6666, 0.6666, 0.3333)  8 Nd 3.62, 4 Y 3.64
Nd (0.8336, 0.5838, 0.6672)  1 Tb 3.61, 7 Y 3.61-3.62, 4 Nd 3.63-3.64
Nd (0.5000, 0.2496, 0.0000)  6 Y 3.61-3.62, 2 Tb 3.62, 4 Nd 3.63
Nd (0.1664, 0.4162, 0.3328)  1 Tb 3.61, 7 Y 3.61-3.62, 4 Nd 3.63-3.64
Y (0.0000, 0.5000, 0.0000)  8 Nd 3.61-3.62, 4 Y 3.64
Y (0.3336, 0.8336, 0.6671)  8 Nd 3.61-3.62, 2 Tb 3.64, 2 Y 3.64
Y (0.3334, 0.3334, 0.6667)  8 Nd 3.62, 4 Y 3.64
Nd (0.8336, 0.0834, 0.6672)  1 Tb 3.61, 7 Y 3.61-3.62, 4 Nd 3.63-3.64
Nd (0.5000, 0.7504, 0.0000)  6 Y 3.61-3.62, 2 Tb 3.62, 4 Nd 3.63
Nd (0.1664, 0.9166, 0.3328)  1 Tb 3.61, 7 Y 3.61-3.62, 4 Nd 3.63-3.64
Tb (0.0000, 0.0000, 0.0000)  8 Nd 3.61-3.62, 4 Y 3.64
Y (0.6664, 0.1664, 0.3329)  8 Nd 3.61-3.62, 2 Tb 3.64, 2 Y 3.64

Computed properties:
Energy above the most stable polymorph in this dataset: 6 meV/atom
Space group: No. 71
Formation enthalpy at 0 K: 1.3 kJ per mole of atoms